# 1
A relaxed structure of La2MgAs. Source: the Alexandria database, functional PBE.

Output
The formation energy is -0.40 eV per formula unit. As for the energy above the most stable polymorph in this dataset: 598 meV/atom.

Unit cell a=7.5328 b=7.5328 c=7.5328 alpha=90.00 beta=90.00 gamma=90.00
Last column: nearest neighbours and their distance in Å.
Space group F-43m (No. 216)
Unique sites:
La  0.0000  0.0000  0.0000 x4  4 As 3.26, 4 La 3.26
La  0.2500  0.2500  0.2500 x4  4 La 3.26, 4 Mg 3.26
Mg  0.0000  0.0000  0.5000 x4  4 As 3.26, 4 La 3.26
As  0.2500  0.2500  0.7500 x4  4 La 3.26, 4 Mg 3.26



# 2
A relaxed structure of SiW5. Source: the Alexandria database, functional PBE.

Output
As for the energy above the most stable polymorph in this dataset: 21 meV/atom. The formation energy (no corrections) is 0.0520 eV/atom.

Unit cell a=3.1947 b=13.3365 c=4.3800 alpha=90.00 beta=90.00 gamma=90.00
Last column: nearest neighbours and their distance in Å.
Space group Cmmm (No. 65)
Unique sites:
Si  0.0000  0.0000  0.0000 x2  8 W 2.71-2.75
W  0.0000  0.1637  0.5000 x4  8 W 2.71-2.80
W  0.0000  0.3326  0.0000 x4  6 W 2.71-2.72, 2 Si 2.75
W  0.0000  0.5000  0.5000 x2  4 W 2.71, 4 Si 2.71



# 3
A relaxed structure of TePtS. Source: the Alexandria database, functional PBE.

Output
As for the energy above the most stable polymorph in this dataset: 0 meV/atom. The formation energy (no corrections) is -0.3384 eV/atom.

Unit cell a=12.3030 b=3.8529 c=6.6376 alpha=90.00 beta=120.09 gamma=90.00
Last column: nearest neighbours and their distance in Å.
Space group C2/m (No. 12)
Unique sites:
Te  0.1202  0.0000  0.2960 x4  3 Pt 2.66-2.69
Pt  0.2492  0.0000  0.7636 x4  3 S 2.44-2.48, 3 Te 2.66-2.69
S  0.1367  0.5000  0.8109 x4  3 Pt 2.44-2.48



# 4
A relaxed structure of CeLuGaPt. Source: the Alexandria database, functional PBE.

Output
The formation energy is -3.12 eV per formula unit.

Unit cell a=7.0970 b=7.0970 c=7.0970 alpha=90.00 beta=90.00 gamma=90.00
Last column: nearest neighbours and their distance in Å.
Space group F-43m (No. 216)
Unique sites:
Ce  0.0000  0.0000  0.0000 x4  4 Ga 3.07, 4 Pt 3.07
Lu  0.0000  0.0000  0.5000 x4  4 Pt 3.07, 4 Ga 3.07
Ga  0.2500  0.2500  0.2500 x4  4 Ce 3.07, 4 Lu 3.07
Pt  0.2500  0.2500  0.7500 x4  4 Ce 3.07, 4 Lu 3.07



# 5
A relaxed structure of Cu4Se3. Source: the Alexandria database, functional PBE.

Output
As for the energy above the most stable polymorph in this dataset: 666 meV/atom. The formation energy (no corrections) is 0.6046 eV/atom.

Unit cell a=5.5731 b=5.5731 c=4.5810 alpha=90.00 beta=90.00 gamma=120.00
Last column: nearest neighbours and their distance in Å.
Space group P6/mmm (No. 191)
Unique sites:
Cu  0.0000  0.0000  0.2471 x2  2 Cu 2.26-2.32
Cu  0.3333  0.6667  0.0000 x2  6 Se 2.80
Se  0.0000  0.5000  0.5000 x3  4 Se 2.79, 8 Cu 2.80-3.02



# 6
A relaxed structure of CrCdSe2. Source: the Alexandria database, functional PBE.

Output
The formation energy (no corrections) is -0.0904 eV/atom.

Unit cell a=4.1262 b=4.1262 c=21.9217 alpha=90.00 beta=90.00 gamma=120.00
Last column: nearest neighbours and their distance in Å.
Space group R3m (No. 160, hexagonal axes)
Unique sites:
Cr  0.0000  0.0000  0.0000 x3  3 Se 2.51
Cd  0.0000  0.0000  0.7704 x3  3 Se 2.59
Se  0.0000  0.0000  0.2979 x3  3 Cr 2.51
Se  0.0000  0.0000  0.4833 x3  3 Cd 2.59



Listing ρ for the structures above in their given order: 5.9; 16.9; 8.7; 10.8; 6.6; 5.0 g/cm³.